The following is a DFT calculation (PBE) of crystalline Be2CdBr at its relaxed geometry.

Lattice parameters (Å, degrees): 3.458 3.481 6.334 90.00 90.00 90.00
Space group Pmmm (No. 47)
Asymmetric unit:
Be: 0.000 0.000 0.000 (multiplicity 1)
Be: 0.500 0.000 0.500 (multiplicity 1)
Cd: 0.000 0.500 0.500 (multiplicity 1)
Br: 0.500 0.500 0.000 (multiplicity 1)

Results
Volume, Å³/cell: 76.2
Excess energy over the best structure of this formula in the dataset, eV per atom: 0.4333
Crystal system: orthorhombic